# BeIrF

Crystalline BeIrF at its relaxed geometry (PBE, the Alexandria database).

Cell: 4.104 4.104 4.621 Å, 90.00 90.00 120.00°
Fractional coordinates of all 6 atoms:
Be (0.000, 0.000, 0.000)
Be (0.000, 0.000, 0.500)
Ir (0.333, 0.667, 0.250)
Ir (0.667, 0.333, 0.750)
F (0.333, 0.667, 0.750)
F (0.667, 0.333, 0.250)

Values from the calculation:
ΔE to the lowest computed polymorph ... 1.761 eV per atom
Volume ... 67.4 Å³ per cell
Uncorrected formation energy ... 0.3369 eV per atom